Computed, not measured: MgZn3Pt after structural relaxation at the GGA-PBE level of DFT.

raw total energy = -2.6250 eV per atom
ΔE to the lowest computed polymorph = 0.10 eV per formula unit
density of states at the Fermi level = 0.2249 states/eV per atom

Cell: 5.197 13.165 4.915 Å, 90.00 90.00 90.00°
Space group Cmcm (No. 63)
One atom of each set of equivalent atoms:
Mg 0.000 0.093 0.250 (multiplicity 4)
Zn 0.000 0.500 0.000 (multiplicity 4)
Zn 0.247 0.338 0.250 (multiplicity 8)
Pt 0.000 0.330 0.750 (multiplicity 4)

---

Computed, not measured: MgZn2Pt after structural relaxation at the GGA-PBE level of DFT.

raw total energy = -2.9954 eV per atom
density of states at the Fermi level = 0.4342 states/eV per atom

Cell: 3.881 3.923 4.043 Å, 90.00 90.00 90.00°
Space group Pmmm (No. 47)
One atom of each set of equivalent atoms:
Mg 0.000 0.000 0.000 (multiplicity 1)
Zn 0.000 0.500 0.500 (multiplicity 1)
Zn 0.500 0.000 0.500 (multiplicity 1)
Pt 0.500 0.500 0.000 (multiplicity 1)

---

Computed, not measured: MgZn2Pt5 after structural relaxation at the GGA-PBE level of DFT.

raw total energy = -4.8633 eV per atom
density of states at the Fermi level = 0.5377 states/eV per atom

Cell: 4.062 4.062 14.693 Å, 90.00 90.00 90.00°
Space group I4/mmm (No. 139)
One atom of each set of equivalent atoms:
Mg 0.000 0.000 0.000 (multiplicity 2)
Zn 0.000 0.000 0.249 (multiplicity 4)
Pt 0.000 0.000 0.500 (multiplicity 2)
Pt 0.000 0.500 0.133 (multiplicity 8)

---

Computed, not measured: Mg9Zn4Pt11 after structural relaxation at the GGA-PBE level of DFT.

raw total energy = -4.3256 eV per atom
density of states at the Fermi level = 0.3284 states/eV per atom

Cell: 13.384 19.457 2.929 Å, 90.00 90.00 90.00°
Space group Cmmm (No. 65)
One atom of each set of equivalent atoms:
Mg 0.000 0.000 0.000 (multiplicity 2)
Mg 0.113 0.234 0.000 (multiplicity 8)
Mg 0.120 0.415 0.000 (multiplicity 8)
Zn 0.160 0.093 0.000 (multiplicity 8)
Pt 0.000 0.124 0.500 (multiplicity 4)
Pt 0.000 0.324 0.500 (multiplicity 4)
Pt 0.000 0.500 0.500 (multiplicity 2)
Pt 0.229 0.323 0.500 (multiplicity 8)
Pt 0.249 0.000 0.500 (multiplicity 4)

---

Question: Which value of density of states at the Fermi level does entry 1 give?
Answer: 0.2249 states/eV per atom

---

Question: Which value of density of states at the Fermi level does entry 2 give?
Answer: 0.4342 states/eV per atom

---

Question: What is the raw total energy in the third record?
Answer: -4.8633 eV per atom

---

Question: Which value of raw total energy does entry 3 give?
Answer: -4.8633 eV per atom